(1)
The following is a PBE calculation of a relaxed structure of Tl2CrTeOs, from Alexandria via LeMat-Bulk.

total moment: 3.62 μB/f.u.
E_form (uncorrected): 1.557 eV per atom
energy: -20.942 eV/cell

Lattice parameters (Å, degrees): 6.151 6.151 4.881 90.00 90.00 90.00
Space group P4/mmm (No. 123)
Symmetry-distinct sites (fractional):
Tl (0.000, 0.500, 0.000) x2
Cr (0.000, 0.000, 0.500) x1
Te (0.500, 0.500, 0.000) x1
Os (0.500, 0.500, 0.500) x1

(2)
The following is a PBE calculation of a relaxed structure of Sm8Dy3Ho2, from Alexandria via LeMat-Bulk.

total moment: 0.00 μB/f.u.
E_form: 0.215 eV per atom
energy: -57.920 eV/cell

Lattice parameters (Å, degrees): 7.692 5.692 10.823 90.00 110.77 90.00
Space group P2/m (No. 10)
Symmetry-distinct sites (fractional):
Sm (0.100, 0.000, 0.287) x2
Sm (0.171, 0.500, 0.843) x2
Sm (0.314, 0.000, 0.713) x2
Sm (0.368, 0.500, 0.235) x2
Dy (0.214, 0.500, 0.500) x2
Dy (0.500, 0.000, 0.500) x1
Ho (0.260, 0.000, 0.019) x2

(3)
The following is a PBE calculation of a relaxed structure of MnIn3Si, from Alexandria via LeMat-Bulk.

total moment: 4.29 μB/f.u.
E_form (uncorrected): 0.769 eV per atom
energy above the most stable polymorph in this dataset: 0.55 eV per formula unit
energy: -18.961 eV/cell

Lattice parameters (Å, degrees): 5.221 5.221 5.221 90.00 90.00 90.00
Space group Pm-3m (No. 221)
Symmetry-distinct sites (fractional):
Mn (0.000, 0.000, 0.000) x1
In (0.000, 0.500, 0.500) x3
Si (0.500, 0.500, 0.500) x1

(4)
The following is a PBE calculation of a relaxed structure of SnTeAu2, from Alexandria via LeMat-Bulk.

total moment: 0.00 μB/f.u.
E_form (uncorrected): -0.031 eV per atom
energy above the most stable polymorph in this dataset: 0.18 eV per formula unit
energy: -41.467 eV/cell

Lattice parameters (Å, degrees): 4.2513 4.2513 19.1312 90.00 90.00 120.00
Space group R3m (No. 160, hexagonal axes)
Symmetry-distinct sites (fractional):
Sn (0.0000, 0.0000, 0.0000) x3
Te (0.0000, 0.0000, 0.1741) x3
Au (0.0000, 0.0000, 0.4141) x3
Au (0.0000, 0.0000, 0.5875) x3